Computed, not measured: a relaxed TbPr3Dy6 crystal at the PBE level of DFT.

Geometry as POSCAR:
```
TbPr3Dy6
1.0
-1.850 5.876 -1.683
-0.051 -3.036 -10.545
-9.082 -1.124 6.056
Tb Pr Dy
2 6 12
direct
0.128 0.194 0.806
0.628 0.806 0.194
0.464 0.937 0.710
0.964 0.710 0.937
0.071 0.388 0.612
0.571 0.612 0.388
0.964 0.063 0.290
0.464 0.290 0.063
0.049 0.714 0.623
0.549 0.623 0.714
0.372 0.529 0.949
0.872 0.949 0.529
0.367 0.962 0.038
0.649 0.272 0.728
0.149 0.728 0.272
0.867 0.038 0.962
0.372 0.051 0.471
0.872 0.471 0.051
0.049 0.377 0.286
0.549 0.286 0.377
```

Properties
The density comes out at 7.752 g cm⁻³. The calculation puts the total moment at 0.000 μB/atom. The calculated volume is 666.9 Å³ per cell. The excess energy over the best structure of this formula in the dataset is 0.0000 eV/atom.

Computed, not measured: a relaxed Sm3Er4Pt4 crystal at the PBE level of DFT.

Geometry as POSCAR:
```
Sm3Er4Pt4
1.0
-2.570 -3.031 2.199
6.413 -4.077 1.874
-1.206 7.673 4.475
Sm Er Pt
3 4 4
direct
0.102 0.102 0.204
0.898 0.898 0.796
0.000 0.500 0.000
0.329 0.119 0.657
0.671 0.462 0.343
0.671 0.881 0.343
0.329 0.538 0.657
0.210 0.710 0.420
0.790 0.290 0.580
0.500 0.814 0.000
0.500 0.186 0.000
```

Properties
The density comes out at 11.472 g cm⁻³. The calculation puts the total moment at 0.000 μB/atom. The calculated volume is 275.1 Å³ per cell. For the total energy, the calculation gives -66.63 eV for the cell shown.

Computed, not measured: a relaxed Tb6Sm3Sc2 crystal at the PBE level of DFT.

Geometry as POSCAR:
```
Tb6Sm3Sc2
1.0
-1.222 -2.311 2.380
2.088 -1.095 2.634
-9.828 22.670 19.586
Tb Sm Sc
6 3 2
direct
0.906 0.906 0.281
0.094 0.094 0.719
0.818 0.818 0.547
0.182 0.182 0.453
0.636 0.636 0.094
0.364 0.364 0.906
0.000 0.000 0.000
0.729 0.729 0.813
0.271 0.271 0.187
0.544 0.544 0.367
0.456 0.456 0.633
```

Properties
The density comes out at 7.287 g cm⁻³. The calculation puts the total moment at 0.000 μB/atom. The calculated volume is 340.6 Å³ per cell. For the total energy, the calculation gives -54.19 eV for the cell shown.

Computed, not measured: a relaxed NiHgCl2 crystal at the PBE level of DFT.

Geometry as POSCAR:
```
NiHgCl2
1.0
6.143 -0.061 0.081
0.145 6.142 -0.081
-1.061 -5.195 3.104
Ni Hg Cl
1 1 2
direct
0.245 0.745 0.500
0.470 0.470 0.000
0.088 0.088 0.000
0.697 0.197 0.500
```

Properties
The formation energy (no corrections) is -0.210 eV/atom. The density comes out at 4.767 g cm⁻³. The calculation puts the total moment at 0.028 μB/atom. The calculated volume is 115.0 Å³ per cell. The excess energy over the best structure of this formula in the dataset is 0.2180 eV/atom.

Computed, not measured: a relaxed BeTeO2 crystal at the PBE level of DFT.

Geometry as POSCAR:
```
BeTeO2
1.0
0.203 -3.776 1.437
1.091 -0.646 3.842
-2.733 -1.290 2.689
Be Te O
1 1 2
direct
0.000 0.000 0.000
0.500 0.500 0.500
0.250 0.250 0.250
0.750 0.750 0.750
```

Properties
The formation energy (no corrections) is 0.173 eV/atom. The density comes out at 5.980 g cm⁻³. The calculation puts the total moment at 0.000 μB/atom. The calculated volume is 46.8 Å³ per cell. The excess energy over the best structure of this formula in the dataset is 1.4141 eV/atom.

Computed, not measured: a relaxed BaPr2Al3Zn6 crystal at the PBE level of DFT.

Geometry as POSCAR:
```
BaPr2Al3Zn6
1.0
-2.421 -3.331 -1.366
2.884 -0.809 -3.138
7.029 -8.673 8.694
Ba Pr Al Zn
1 2 3 6
direct
0.500 0.500 0.500
0.500 0.500 0.122
0.500 0.500 0.878
0.000 0.000 0.396
0.000 0.000 0.604
0.000 0.000 0.000
0.000 0.500 0.706
0.500 0.000 0.294
0.500 0.000 0.706
0.000 0.000 0.188
0.000 0.500 0.294
0.000 0.000 0.812
```

Properties
The density comes out at 5.566 g cm⁻³. The calculation puts the total moment at 0.000 μB/atom. The calculated volume is 266.3 Å³ per cell. For the total energy, the calculation gives -33.17 eV for the cell shown.

Computed, not measured: a relaxed CsP2PtCl crystal at the PBE level of DFT.

Geometry as POSCAR:
```
CsP2PtCl
1.0
-3.262 -2.466 -2.009
3.143 -2.943 -1.490
-0.956 -4.777 7.415
Cs P Pt Cl
1 2 1 1
direct
0.500 0.500 0.500
0.000 0.500 0.000
0.500 0.000 0.000
0.000 0.000 0.000
0.000 0.000 0.500
```

Properties
The formation energy (no corrections) is -0.233 eV/atom. The density comes out at 3.836 g cm⁻³. The calculation puts the total moment at 0.000 μB/atom. The calculated volume is 184.2 Å³ per cell. The excess energy over the best structure of this formula in the dataset is 0.0000 eV/atom.

Computed, not measured: a relaxed PaInTcOs crystal at the PBE level of DFT.

Geometry as POSCAR:
```
PaInTcOs
1.0
-3.942 -1.201 2.349
-3.337 -2.603 -2.142
-0.700 -4.505 1.312
Pa Os Tc In
1 1 1 1
direct
0.500 0.500 0.500
0.250 0.250 0.250
0.750 0.750 0.750
0.000 0.000 0.000
```

Properties
The density comes out at 13.949 g cm⁻³. The calculation puts the total moment at 0.000 μB/atom. The calculated volume is 75.5 Å³ per cell. For the total energy, the calculation gives -34.09 eV for the cell shown.

What did the sixth record say?
Computed, not measured: a relaxed BaPr2Al3Zn6 crystal at the PBE level of DFT.

Geometry as POSCAR:
```
BaPr2Al3Zn6
1.0
-2.421 -3.331 -1.366
2.884 -0.809 -3.138
7.029 -8.673 8.694
Ba Pr Al Zn
1 2 3 6
direct
0.500 0.500 0.500
0.500 0.500 0.122
0.500 0.500 0.878
0.000 0.000 0.396
0.000 0.000 0.604
0.000 0.000 0.000
0.000 0.500 0.706
0.500 0.000 0.294
0.500 0.000 0.706
0.000 0.000 0.188
0.000 0.500 0.294
0.000 0.000 0.812
```

Properties
The density comes out at 5.566 g cm⁻³. The calculation puts the total moment at 0.000 μB/atom. The calculated volume is 266.3 Å³ per cell. For the total energy, the calculation gives -33.17 eV for the cell shown.